(1)
Li5Ti3O8 | PBEsol | relaxed

Total energy   -7.46 eV per atom

abc: 5.8375 5.8375 5.8375
angles: 59.70 59.70 59.70
Fractional positions:
Li 0.0000 0.0000 0.0000
Li 0.0000 0.5000 0.5000
Li 0.5000 0.0000 0.5000
Li 0.5000 0.5000 0.0000
Li 0.5000 0.5000 0.5000
Ti 0.0000 0.0000 0.5000
Ti 0.0000 0.5000 0.0000
Ti 0.5000 0.0000 0.0000
O 0.2277 0.7505 0.7505
O 0.2454 0.2454 0.2454
O 0.2495 0.2495 0.7723
O 0.2495 0.7723 0.2495
O 0.7505 0.2277 0.7505
O 0.7505 0.7505 0.2277
O 0.7546 0.7546 0.7546
O 0.7723 0.2495 0.2495

***

(2)
TlGaAs3 | PBEsol | relaxed

Formation enthalpy at 0 K   1108 meV per atom

abc: 5.2773 5.2773 5.2773
angles: 90.00 90.00 90.00
Fractional positions:
Tl 0.0000 0.0000 0.0000
Ga 0.5000 0.5000 0.5000
As 0.0000 0.0000 0.5000
As 0.0000 0.5000 0.0000
As 0.5000 0.0000 0.0000

***

(3)
Sc2CuReMo | PBEsol | relaxed

Formation enthalpy at 0 K   1179 meV per atom

abc: 4.5365 4.5365 4.5738
angles: 90.00 90.00 90.00
Fractional positions:
Sc 0.0000 0.5000 0.0000
Sc 0.5000 0.0000 0.0000
Cu 0.0000 0.0000 0.0000
Re 0.5000 0.5000 0.5000
Mo 0.0000 0.0000 0.5000

***

(4)
ScTlRu2 | PBEsol | relaxed

Formation enthalpy at 0 K   -30 meV per atom

abc: 4.4418 4.4418 3.3095
angles: 90.00 90.00 90.00
Fractional positions:
Sc 0.0000 0.0000 0.0000
Tl 0.5000 0.5000 0.0000
Ru 0.0000 0.5000 0.5000
Ru 0.5000 0.0000 0.5000

***

(5)
GaAgN3 | PBEsol | relaxed

Total energy   -4.24 eV per atom

abc: 4.0435 4.0435 4.0435
angles: 90.00 90.00 90.00
Fractional positions:
Ga 0.0000 0.0000 0.0000
Ag 0.5000 0.5000 0.5000
N 0.0000 0.5000 0.5000
N 0.5000 0.0000 0.5000
N 0.5000 0.5000 0.0000

***

(6)
Co2AsPtC | PBEsol | relaxed

Formation enthalpy at 0 K   288 meV per atom

abc: 3.8176 3.8176 4.1275
angles: 90.00 90.00 90.00
Fractional positions:
Co 0.0000 0.5000 0.0000
Co 0.5000 0.0000 0.0000
As 0.0000 0.0000 0.5000
Pt 0.5000 0.5000 0.5000
C 0.5000 0.5000 0.0000

***

(7)
SrReNiF2 | PBEsol | relaxed

Total energy   -5.15 eV per atom

abc: 4.2931 4.2931 6.0787
angles: 90.00 90.00 90.00
Fractional positions:
Sr 0.0000 0.0000 0.0000
Re 0.5000 0.5000 0.5000
Ni 0.0000 0.0000 0.5000
F 0.0000 0.5000 0.0000
F 0.5000 0.0000 0.0000

***

(8)
RbBeC3 | PBEsol | relaxed

Formation enthalpy at 0 K   2636 meV per atom

abc: 3.9169 3.9169 3.9169
angles: 90.00 90.00 90.00
Fractional positions:
Rb 0.0000 0.0000 0.0000
Be 0.5000 0.5000 0.5000
C 0.0000 0.5000 0.5000
C 0.5000 0.0000 0.5000
C 0.5000 0.5000 0.0000